A plane-wave DFT calculation with PBE was carried out for Pm2PrYSe4 after structural relaxation.

Summary:
Total moment (μB per formula unit): 0.0
Symmetry: P2/m, No. 10
DFT total energy (eV for the cell shown): -49.20
Energy relative to the elements, uncorrected (meV/atom): -1814

Unit cell a=4.137 b=7.245 c=7.328 alpha=71.14 beta=90.00 gamma=90.00
Fractional coordinates of all 8 atoms:
1 Se 0.000 0.750 0.742
2 Pr 0.500 0.500 0.000
3 Se 0.500 0.745 0.259
4 Se 0.500 0.255 0.741
5 Y 0.000 0.500 0.500
6 Pm 0.000 0.000 0.000
7 Se 0.000 0.250 0.258
8 Pm 0.500 0.000 0.500